No. 1
LaPr2Ge2 (GGA-PBE, relaxed); E above lowest polymorph = 0.000 eV per atom; ΔH_f (0 K) = -0.719 eV/atom; symmetry = P4/mbm
1.0
8.009 0.000 0.000
0.000 8.009 0.000
0.000 0.000 4.361
La Pr Ge
2 4 4
Direct
0.000 0.000 0.000
0.500 0.500 0.000
0.173 0.327 0.500
0.327 0.827 0.500
0.673 0.173 0.500
0.827 0.673 0.500
0.118 0.618 0.000
0.382 0.118 0.000
0.618 0.882 0.000
0.882 0.382 0.000

=====

No. 2
LiTcRu2 (GGA-PBE, relaxed); E above lowest polymorph = 0.098 eV per atom; ΔH_f (0 K) = 0.197 eV/atom; symmetry = Pmmm
1.0
2.717 0.000 0.000
0.000 3.799 0.000
0.000 0.000 5.238
Li Tc Ru
1 1 2
Direct
0.000 0.000 0.000
0.000 0.000 0.500
0.500 0.500 0.236
0.500 0.500 0.764